[1]
Computed, not measured: crystalline Zn2Cu4Ni5 at its relaxed geometry at the PBE level of DFT.

a = 2.567 Å, b = 6.158 Å, c = 16.671 Å
α = 90.00°, β = 90.00°, γ = 90.00°
Atoms (fractional coordinates):
Ni 0.000 0.665 0.589
Ni 0.000 0.327 0.670
Ni 0.000 0.173 0.170
Ni 0.000 0.835 0.089
Ni 0.000 0.335 0.411
Ni 0.000 0.673 0.330
Ni 0.000 0.827 0.830
Ni 0.000 0.000 0.500
Ni 0.000 0.500 0.000
Ni 0.000 0.165 0.911
Cu 0.500 0.505 0.132
Cu 0.500 0.005 0.368
Cu 0.500 0.169 0.041
Cu 0.500 0.495 0.868
Cu 0.500 0.669 0.459
Cu 0.500 0.831 0.959
Cu 0.500 0.331 0.541
Cu 0.500 0.995 0.632
Zn 0.500 0.148 0.779
Zn 0.500 0.648 0.721
Zn 0.500 0.352 0.279
Zn 0.500 0.852 0.221

Computed properties:
Formation enthalpy at 0 K (eV/atom): -0.01
V (Å³ per atom): 11.98

---

[2]
Computed, not measured: crystalline ZnCu6Ni8 at its relaxed geometry at the PBE level of DFT.

a = 6.271 Å, b = 6.271 Å, c = 6.271 Å
α = 59.89°, β = 59.89°, γ = 59.89°
Atoms (fractional coordinates):
Ni 0.423 0.423 0.423
Ni 0.880 0.337 0.185
Ni 0.815 0.120 0.663
Ni 0.185 0.880 0.337
Ni 0.577 0.577 0.577
Ni 0.120 0.663 0.815
Ni 0.337 0.185 0.880
Ni 0.663 0.815 0.120
Cu 0.533 0.275 0.064
Cu 0.275 0.064 0.533
Cu 0.936 0.467 0.725
Cu 0.467 0.725 0.936
Cu 0.064 0.533 0.275
Cu 0.725 0.936 0.467
Zn 0.000 0.000 0.000

Computed properties:
Formation enthalpy at 0 K (eV/atom): 0.06
V (Å³ per atom): 11.59

---

[3]
Computed, not measured: crystalline Zn5CuNi2 at its relaxed geometry at the PBE level of DFT.

a = 5.193 Å, b = 5.193 Å, c = 5.193 Å
α = 117.14°, β = 117.14°, γ = 95.03°
Atoms (fractional coordinates):
Ni 0.278 0.778 0.500
Ni 0.778 0.278 0.500
Zn 0.778 0.778 0.500
Zn 0.777 0.278 0.000
Zn 0.278 0.778 0.000
Zn 0.277 0.278 0.000
Zn 0.278 0.278 0.500
Cu 0.778 0.778 0.000

Computed properties:
Formation enthalpy at 0 K (eV/atom): -0.15
V (Å³ per atom): 12.86

---

[4]
Computed, not measured: crystalline ZnCu2Ni6 at its relaxed geometry at the PBE level of DFT.

a = 5.480 Å, b = 5.480 Å, c = 5.480 Å
α = 120.00°, β = 120.00°, γ = 89.99°
Atoms (fractional coordinates):
Ni 0.715 0.715 0.429
Ni 0.286 0.286 0.000
Ni 0.285 0.715 0.000
Ni 0.285 0.285 0.571
Ni 0.715 0.285 0.000
Ni 0.714 0.714 0.000
Cu 0.250 0.750 0.500
Cu 0.750 0.250 0.500
Zn 0.000 0.000 0.000

Computed properties:
Formation enthalpy at 0 K (eV/atom): 0.42
V (Å³ per atom): 12.93

---

[5]
Computed, not measured: crystalline Zn3Cu4Ni2 at its relaxed geometry at the PBE level of DFT.

a = 4.048 Å, b = 6.893 Å, c = 6.893 Å
α = 41.90°, β = 72.93°, γ = 72.93°
Atoms (fractional coordinates):
Cu 0.804 0.943 0.450
Cu 0.196 0.550 0.057
Cu 0.196 0.057 0.550
Cu 0.804 0.450 0.943
Ni 0.000 0.237 0.763
Ni 0.000 0.763 0.237
Zn 0.500 0.500 0.500
Zn 0.391 0.109 0.109
Zn 0.609 0.891 0.891

Computed properties:
Formation enthalpy at 0 K (eV/atom): 0.10
V (Å³ per atom): 13.55

---

[6]
Computed, not measured: crystalline Zn2Cu3Ni3 at its relaxed geometry at the PBE level of DFT.

a = 3.719 Å, b = 3.642 Å, c = 6.996 Å
α = 90.00°, β = 90.00°, γ = 90.00°
Atoms (fractional coordinates):
Ni 0.000 0.500 0.500
Ni 0.000 0.500 0.000
Ni 0.500 0.000 0.500
Zn 0.000 0.000 0.255
Zn 0.000 0.000 0.745
Cu 0.500 0.000 0.000
Cu 0.500 0.500 0.253
Cu 0.500 0.500 0.747

Computed properties:
Formation enthalpy at 0 K (eV/atom): -0.12
V (Å³ per atom): 11.85

---

[7]
Computed, not measured: crystalline Zn12Cu5Ni2 at its relaxed geometry at the PBE level of DFT.

a = 7.123 Å, b = 6.922 Å, c = 6.151 Å
α = 90.11°, β = 90.00°, γ = 120.96°
Atoms (fractional coordinates):
Zn 0.029 0.684 0.768
Zn 0.910 0.820 0.116
Zn 0.822 0.244 0.664
Zn 0.654 0.684 0.768
Zn 0.561 0.121 0.316
Zn 0.423 0.244 0.664
Zn 0.439 0.879 0.684
Zn 0.577 0.756 0.336
Zn 0.971 0.316 0.232
Zn 0.178 0.756 0.336
Zn 0.090 0.180 0.884
Zn 0.346 0.316 0.232
Cu 0.307 0.613 0.003
Cu 0.000 0.000 0.500
Cu 0.231 0.462 0.564
Cu 0.693 0.387 0.997
Cu 0.769 0.538 0.436
Ni 0.309 0.000 0.000
Ni 0.691 0.000 0.000

Computed properties:
Formation enthalpy at 0 K (eV/atom): -0.06
V (Å³ per atom): 13.69

---

[8]
Computed, not measured: crystalline ZnCuNi4 at its relaxed geometry at the PBE level of DFT.

a = 4.840 Å, b = 4.823 Å, c = 6.953 Å
α = 90.00°, β = 90.00°, γ = 61.29°
Atoms (fractional coordinates):
Cu 0.500 0.250 0.250
Cu 0.500 0.750 0.750
Zn 0.000 0.750 0.250
Zn 0.000 0.250 0.750
Ni 0.252 0.000 0.062
Ni 0.252 0.000 0.438
Ni 0.748 0.500 0.438
Ni 0.252 0.500 0.562
Ni 0.252 0.500 0.938
Ni 0.748 0.500 0.062
Ni 0.748 0.000 0.562
Ni 0.748 0.000 0.938

Computed properties:
Formation enthalpy at 0 K (eV/atom): 0.08
V (Å³ per atom): 11.86

---

[9]
Computed, not measured: crystalline Zn15Cu4Ni at its relaxed geometry at the PBE level of DFT.

a = 3.790 Å, b = 3.790 Å, c = 19.045 Å
α = 90.00°, β = 90.00°, γ = 90.00°
Atoms (fractional coordinates):
Zn 0.500 0.500 0.802
Zn 0.500 0.500 0.000
Zn 0.000 0.500 0.701
Zn 0.000 0.500 0.299
Zn 0.000 0.500 0.903
Zn 0.000 0.500 0.500
Zn 0.500 0.000 0.903
Zn 0.500 0.000 0.701
Zn 0.000 0.500 0.097
Zn 0.500 0.000 0.299
Zn 0.500 0.500 0.399
Zn 0.500 0.000 0.097
Zn 0.500 0.500 0.601
Zn 0.500 0.000 0.500
Zn 0.500 0.500 0.198
Ni 0.000 0.000 0.000
Cu 0.000 0.000 0.802
Cu 0.000 0.000 0.399
Cu 0.000 0.000 0.198
Cu 0.000 0.000 0.601

Computed properties:
Formation enthalpy at 0 K (eV/atom): -0.05
V (Å³ per atom): 13.68

---

[10]
Computed, not measured: crystalline Zn2Cu2Ni7 at its relaxed geometry at the PBE level of DFT.

a = 6.112 Å, b = 4.423 Å, c = 6.112 Å
α = 116.18°, β = 96.17°, γ = 63.82°
Atoms (fractional coordinates):
Ni 0.076 0.174 0.412
Ni 0.412 0.826 0.076
Ni 0.404 0.364 0.596
Ni 0.588 0.174 0.924
Ni 0.924 0.826 0.588
Ni 0.596 0.636 0.404
Ni 0.000 0.000 0.000
Zn 0.788 0.500 0.788
Zn 0.212 0.500 0.212
Cu 0.748 0.956 0.252
Cu 0.252 0.044 0.748

Computed properties:
Formation enthalpy at 0 K (eV/atom): 0.08
V (Å³ per atom): 12.03

---

[11]
Computed, not measured: crystalline ZnCu5Ni6 at its relaxed geometry at the PBE level of DFT.

a = 3.598 Å, b = 7.110 Å, c = 6.681 Å
α = 122.15°, β = 105.61°, γ = 90.00°
Atoms (fractional coordinates):
Ni 0.833 0.583 0.666
Ni 0.833 0.083 0.666
Ni 0.500 0.749 0.000
Ni 0.167 0.417 0.334
Ni 0.500 0.251 0.000
Ni 0.167 0.917 0.334
Zn 0.000 0.000 0.000
Cu 0.669 0.169 0.338
Cu 0.666 0.666 0.332
Cu 0.331 0.831 0.662
Cu 0.334 0.334 0.668
Cu 0.000 0.500 0.000

Computed properties:
Formation enthalpy at 0 K (eV/atom): 0.00
V (Å³ per atom): 11.43

---

[12]
Computed, not measured: crystalline ZnCu7Ni4 at its relaxed geometry at the PBE level of DFT.

a = 4.391 Å, b = 8.049 Å, c = 4.995 Å
α = 83.81°, β = 63.92°, γ = 74.17°
Atoms (fractional coordinates):
Cu 0.655 0.458 0.231
Cu 0.500 0.000 0.000
Cu 0.963 0.380 0.694
Cu 0.206 0.085 0.503
Cu 0.037 0.620 0.306
Cu 0.345 0.542 0.769
Cu 0.794 0.915 0.497
Ni 0.590 0.227 0.593
Ni 0.718 0.692 0.872
Ni 0.410 0.773 0.407
Ni 0.282 0.308 0.128
Zn 0.000 0.000 0.000

Computed properties:
Formation enthalpy at 0 K (eV/atom): 0.26
V (Å³ per atom): 12.71